Here is an optimized crystal structure of ZrRuPt from Alexandria via LeMat-Bulk. Energies are from PBE-GGA.

It has space group F-43m (No. 216), with a = 6.201 Å, b = 6.201 Å, c = 6.201 Å, α = 90.00°, β = 90.00° and γ = 90.00°. Symmetry generates all atoms from Zr at (0.000, 0.000, 0.000), Ru at (0.250, 0.250, 0.250) and Pt at (0.000, 0.000, 0.500).

For the spin magnetization, the calculation gives 0.25 μB per atom. As for the excess energy over the best structure of this formula in the dataset: 0.3361 eV/atom. Its energy of formation is -17 kJ/mol of formula units. Its crystal system is cubic. The calculated total energy comes out at -8.012 eV/atom. The value obtained for the calculated volume is 19.869 A^3/atom.

Here is an optimized crystal structure of ZrRuPt2 from Alexandria via LeMat-Bulk. Energies are from PBE-GGA.

It has space group Fm-3m (No. 225), with a = 6.475 Å, b = 6.475 Å, c = 6.475 Å, α = 90.00°, β = 90.00° and γ = 90.00°. Symmetry generates all atoms from Zr at (0.000, 0.000, 0.000), Ru at (0.000, 0.000, 0.500) and Pt at (0.250, 0.250, 0.250).

For the spin magnetization, the calculation gives 0.00 μB per atom. Its energy of formation is -132 kJ/mol of formula units. Its crystal system is cubic. The calculated total energy comes out at -7.819 eV/atom. The value obtained for the calculated volume is 16.967 A^3/atom.